No. 1
Here is a relaxed Si2TeCl crystal from Alexandria. Energies are from PBE.

Unit cell a=8.3858 b=8.3858 c=8.3858 alpha=26.29 beta=26.29 gamma=26.29
Last column: nearest neighbours and their distance in Å.
Element x y z (fractional)
Te1 0.5349 0.5349 0.5349  3 Si 2.78
Cl1 0.7132 0.7132 0.7132  3 Si 2.72
Si1 0.9806 0.9806 0.9806  3 Si 2.43, 3 Cl 2.72
Si2 0.2713 0.2713 0.2713  3 Si 2.43

Summary:
* E_form (uncorrected): 0.18 eV/f.u.
* SG: No. 160

No. 2
Here is a relaxed SiTeCl crystal from Alexandria. Energies are from PBE.

Unit cell a=7.8470 b=7.8470 c=7.8470 alpha=155.62 beta=155.62 gamma=34.75
Last column: nearest neighbours and their distance in Å.
Element x y z (fractional)
Cl1 0.9481 0.9481 0.0000  4 Si 2.80
Si1 0.3453 0.3453 0.0000  4 Cl 2.80, 4 Te 3.13
Te1 0.7065 0.7065 0.0000  4 Si 3.13, 4 Te 3.31

Summary:
* E_form (uncorrected): 0.48 eV/f.u.
* SG: No. 107

No. 3
Here is a relaxed Si2TeCl crystal from Alexandria. Energies are from PBE.

Unit cell a=4.7015 b=3.9203 c=7.1080 alpha=72.29 beta=90.00 gamma=90.00
Last column: nearest neighbours and their distance in Å.
Element x y z (fractional)
Cl1 0.5000 0.7223 0.8670  1 Si 2.14
Si1 0.5000 0.2354 0.1076  1 Cl 2.14
Si2 0.0000 0.0854 0.1360  2 Si 2.42, 2 Te 2.57-2.64
Te1 0.0000 0.4569 0.3893  2 Si 2.57-2.64

Summary:
* E_form (uncorrected): -0.19 eV/f.u.
* SG: No. 6